# 1
{"formula": "NaLa2GaNi", "functional": "PBE-GGA", "state": "relaxed", "lattice_angstrom": [[5.533, 0.000, 0.000], [0.000, 5.533, 0.000], [0.000, 0.000, 4.656]], "species": ["Na", "La", "La", "Ga", "Ni"], "fractional_positions": [[0.000, 0.000, 0.000], [0.000, 0.500, 0.500], [0.500, 0.000, 0.500], [0.500, 0.500, 0.000], [0.500, 0.500, 0.500]], "e_form_mev_per_atom": -182, "vol_a3_per_atom": 28.505}



# 2
{"formula": "NaLa2GaO", "functional": "PBE-GGA", "state": "relaxed", "lattice_angstrom": [[5.000, 0.000, 0.000], [0.000, 5.000, 0.000], [0.000, 0.000, 4.655]], "species": ["Na", "La", "La", "Ga", "O"], "fractional_positions": [[0.000, 0.000, 0.000], [0.000, 0.500, 0.500], [0.500, 0.000, 0.500], [0.500, 0.500, 0.000], [0.000, 0.000, 0.500]], "formation_energy_uncorrected_mev_per_atom": -1277, "vol_a3_per_atom": 23.282}



# 3
{"formula": "Na2LaGaO4", "functional": "PBE-GGA", "state": "relaxed", "lattice_angstrom": [[1.713, -5.812, 0.000], [1.713, 5.812, 0.000], [0.000, 0.000, 11.142]], "species": ["Na", "Na", "Na", "Na", "La", "La", "Ga", "Ga", "O", "O", "O", "O", "O", "O", "O", "O"], "fractional_positions": [[0.123, 0.877, 0.534], [0.123, 0.877, 0.966], [0.877, 0.123, 0.034], [0.877, 0.123, 0.466], [0.397, 0.603, 0.750], [0.603, 0.397, 0.250], [0.332, 0.668, 0.250], [0.668, 0.332, 0.750], [0.080, 0.920, 0.750], [0.216, 0.784, 0.136], [0.216, 0.784, 0.364], [0.500, 0.500, 0.000], [0.500, 0.500, 0.500], [0.784, 0.216, 0.636], [0.784, 0.216, 0.864], [0.920, 0.080, 0.250]], "formation_energy_uncorrected_mev_per_atom": -1939, "vol_a3_per_atom": 13.870}